# 1
# Ba5Ru2ClO9

A crystal of Ba5Ru2ClO9 relaxed with PBEsol (meta-GGA SCAN, Alexandria via LeMat-Bulk).

Lattice parameters (Å, degrees): 6.1063 6.1063 17.9992 90.00 90.00 121.34
Positions (direct):
Ba 0.0084 0.9916 0.5000
Ba 0.0077 0.9923 0.8037
Ba 0.3242 0.6758 0.6311
Ba 0.3279 0.6721 0.4020
Ba 0.3501 0.6499 0.1721
Ba 0.6499 0.3501 0.6721
Ba 0.6721 0.3279 0.9020
Ba 0.6758 0.3242 0.1311
Ba 0.9916 0.0084 0.0000
Ba 0.9923 0.0077 0.3037
Ru 0.3224 0.6776 0.8266
Ru 0.3434 0.6566 0.9770
Ru 0.6566 0.3434 0.4770
Ru 0.6776 0.3224 0.3266
Cl 0.0581 0.9419 0.1518
Cl 0.9419 0.0581 0.6518
O 0.0069 0.5413 0.7709
O 0.0456 0.4791 0.0387
O 0.1781 0.3686 0.8987
O 0.1852 0.8148 0.9082
O 0.3686 0.1781 0.3987
O 0.4587 0.9931 0.7709
O 0.4661 0.5339 0.7634
O 0.4791 0.0456 0.5387
O 0.4960 0.5040 0.5290
O 0.5040 0.4960 0.0290
O 0.5209 0.9544 0.0387
O 0.5339 0.4661 0.2634
O 0.5413 0.0069 0.2709
O 0.6314 0.8219 0.8987
O 0.8148 0.1852 0.4082
O 0.8219 0.6314 0.3987
O 0.9544 0.5209 0.5387
O 0.9931 0.4587 0.2709



# 2
# BaV2TeO8

A crystal of BaV2TeO8 relaxed with PBEsol (meta-GGA SCAN, Alexandria via LeMat-Bulk).

Lattice parameters (Å, degrees): 9.5698 5.6207 14.2168 90.00 112.51 90.00
Positions (direct):
Ba 0.2491 0.1812 0.3405
Ba 0.2491 0.3188 0.8405
Ba 0.7509 0.6812 0.1595
Ba 0.7509 0.8188 0.6595
V 0.0058 0.1634 0.0864
V 0.0058 0.3366 0.5864
V 0.4845 0.1390 0.1364
V 0.4845 0.3610 0.6364
V 0.5155 0.6390 0.3636
V 0.5155 0.8610 0.8636
V 0.9942 0.6634 0.4136
V 0.9942 0.8366 0.9136
Te 0.2860 0.6536 0.0982
Te 0.2860 0.8464 0.5982
Te 0.7140 0.1536 0.4018
Te 0.7140 0.3464 0.9018
O 0.0155 0.5192 0.3190
O 0.0155 0.9808 0.8190
O 0.1248 0.5526 0.5487
O 0.1248 0.9474 0.0487
O 0.1470 0.1376 0.6402
O 0.1470 0.3624 0.1402
O 0.1520 0.6066 0.9576
O 0.1520 0.8934 0.4576
O 0.3293 0.6654 0.3229
O 0.3293 0.8346 0.8229
O 0.3940 0.1122 0.5595
O 0.3940 0.3878 0.0595
O 0.4312 0.6317 0.5650
O 0.4312 0.8683 0.0650
O 0.4377 0.1088 0.2372
O 0.4377 0.3912 0.7372
O 0.5623 0.6088 0.2628
O 0.5623 0.8912 0.7628
O 0.5688 0.1317 0.9350
O 0.5688 0.3683 0.4350
O 0.6060 0.6122 0.9405
O 0.6060 0.8878 0.4405
O 0.6707 0.1654 0.1771
O 0.6707 0.3346 0.6771
O 0.8480 0.1066 0.5424
O 0.8480 0.3934 0.0424
O 0.8530 0.6376 0.8598
O 0.8530 0.8624 0.3598
O 0.8752 0.0526 0.9513
O 0.8752 0.4474 0.4513
O 0.9845 0.0192 0.1810
O 0.9845 0.4808 0.6810



# 3
# RbIr2OsCl

A crystal of RbIr2OsCl relaxed with PBEsol (meta-GGA SCAN, Alexandria via LeMat-Bulk).

Lattice parameters (Å, degrees): 4.7670 4.7670 5.1309 90.00 90.00 90.00
Positions (direct):
Rb 0.0000 0.0000 0.0000
Ir 0.0000 0.5000 0.0000
Ir 0.5000 0.0000 0.0000
Os 0.5000 0.5000 0.5000
Cl 0.0000 0.0000 0.5000



Taking the records one at a time from the top gives uncorrected formation energy values of -2.33 -2.41 3.52 eV/atom.